Entry 1:
Below is a geometry-optimized SmInSnCl6 structure, with properties calculated at the PBE level.

**Formation energy from raw total energies**: -1.541 eV/atom
**VASP energy**: -4.05 eV/atom
**DOS(E_F)**: 0.00 states/eV/cell

Cell lengths 7.3345, 7.3345, 13.4778 Å; angles 90.00, 90.00, 120.00 degrees
With the nearest neighbours (Å) after each atom.
Space group P-31c (No. 163)
One atom of each set of equivalent atoms:
Sm1 0.3333 0.6667 0.2500 [2 per cell]  6 Cl 2.72
In1 0.0000 0.0000 0.0000 [2 per cell]  6 Cl 3.25
Sn1 0.3333 0.6667 0.7500 [2 per cell]  6 Cl 2.87
Cl1 0.0147 0.3731 0.1362 [12 per cell]  1 Sm 2.72, 1 Sn 2.87

=====

Entry 2:
Below is a geometry-optimized SmTlIn2Cl6 structure, with properties calculated at the PBE level.

**Formation energy from raw total energies**: -1.455 eV/atom
**VASP energy**: -3.82 eV/atom
**DOS(E_F)**: 0.00 states/eV/cell

Cell lengths 7.8767, 7.8848, 8.0802 Å; angles 60.84, 60.84, 60.04 degrees
With the nearest neighbours (Å) after each atom.
Space group P1 (No. 1)
One atom of each set of equivalent atoms:
Sm1 0.0000 0.0000 0.0000 [1 per cell]  6 Cl 2.70-2.75
Tl1 0.5101 0.5099 0.4700 [1 per cell]  6 Cl 3.17-3.33
In1 0.3011 0.3010 0.0969 [1 per cell]  6 Cl 3.19-3.25
In2 0.7942 0.7944 0.6173 [1 per cell]  6 Cl 3.15-3.32
Cl1 0.1206 0.7525 0.7931 [1 per cell]  1 Sm 2.70
Cl2 0.1846 0.6510 0.2655 [1 per cell]  1 Sm 2.75
Cl3 0.3341 0.1207 0.7936 [1 per cell]  1 Sm 2.70
Cl4 0.6504 0.8992 0.2651 [1 per cell]  1 Sm 2.75
Cl5 0.7522 0.3340 0.7935 [1 per cell]  1 Sm 2.70
Cl6 0.8989 0.1844 0.2658 [1 per cell]  1 Sm 2.75